Entry 1:
CsTl2Pb2: PBEsol geometry, SCAN.

Calculated formation energy ... -104 kJ/mol of formula units

a b c (Å): 5.464 5.464 7.161
angles (deg): 112.43 112.43 90.00
Fractional positions:
1 Pb 0.626 0.626 0.251
2 Tl 0.250 0.750 0.500
3 Cs 0.000 0.000 0.000
4 Tl 0.750 0.250 0.500
5 Pb 0.374 0.374 0.749

Entry 2:
Cs2Tl2Pb: PBEsol geometry, SCAN.

Calculated formation energy ... -81 kJ/mol of formula units

a b c (Å): 6.338 8.035 8.035
angles (deg): 90.00 90.00 90.00
Fractional positions:
1 Pb 0.000 0.000 0.000
2 Cs 0.500 0.680 0.820
3 Pb 0.000 0.500 0.500
4 Cs 0.500 0.820 0.320
5 Tl 0.000 0.867 0.633
6 Tl 0.000 0.133 0.367
7 Tl 0.000 0.633 0.133
8 Tl 0.000 0.367 0.867
9 Cs 0.500 0.320 0.180
10 Cs 0.500 0.180 0.680

Entry 3:
CsTl2Pb2: PBEsol geometry, SCAN.

Calculated formation energy ... -63 kJ/mol of formula units

a b c (Å): 3.544 9.704 9.704
angles (deg): 90.00 90.00 90.00
Fractional positions:
1 Cs 0.000 0.000 0.000
2 Tl 0.500 0.659 0.841
3 Tl 0.500 0.841 0.341
4 Tl 0.500 0.159 0.659
5 Pb 0.000 0.373 0.873
6 Tl 0.500 0.341 0.159
7 Pb 0.000 0.873 0.627
8 Cs 0.000 0.500 0.500
9 Pb 0.000 0.127 0.373
10 Pb 0.000 0.627 0.127

Entry 4:
CsPb2W2: PBEsol geometry, SCAN.

Calculated formation energy ... 518 kJ/mol of formula units

a b c (Å): 5.435 5.942 5.435
angles (deg): 62.79 90.00 117.21
Fractional positions:
1 W 0.374 0.749 0.626
2 Cs 0.000 0.000 0.000
3 W 0.626 0.251 0.374
4 Pb 0.750 0.500 0.750
5 Pb 0.250 0.500 0.250

Entry 5:
CsYPb3: PBEsol geometry, SCAN.

Calculated formation energy ... 549 kJ/mol of formula units

a b c (Å): 5.940 5.940 5.940
angles (deg): 90.00 90.00 90.00
Fractional positions:
1 Y 0.500 0.500 0.500
2 Pb 0.500 0.000 0.000
3 Pb 0.000 0.500 0.000
4 Cs 0.000 0.000 0.000
5 Pb 0.000 0.000 0.500

Entry 6:
Cs2SrPdPt: PBEsol geometry, SCAN.

Calculated formation energy ... 151 kJ/mol of formula units

a b c (Å): 5.798 5.805 5.805
angles (deg): 90.00 90.00 90.00
Fractional positions:
1 Sr 0.500 0.000 0.000
2 Cs 0.000 0.500 0.000
3 Cs 0.000 0.000 0.500
4 Pt 0.500 0.500 0.500
5 Pd 0.000 0.000 0.000